GGA-PBE NpUGa, relaxed; SG = F-43m, No. 216; spin magnetization = 7.646 μB/f.u.; DFT total energy = -0.62297 Ry/atom; crystal system = cubic
1.0
0.000 3.299 3.299
3.299 0.000 3.299
3.299 3.299 0.000
Ga Np U
1 1 1
direct
0.000 0.000 0.000
0.500 0.500 0.500
0.750 0.750 0.750